Run a
# HfTiCr

A relaxed HfTiCr crystal (PBE, Alexandria via LeMat-Bulk).

Unit cell a=4.190 b=4.300 c=6.868 alpha=71.76 beta=90.00 gamma=90.00
Sites, in units of the cell vectors:
Hf (0.750, 0.597, 0.807)
Hf (0.250, 0.403, 0.193)
Cr (0.500, 0.000, 0.000)
Cr (0.000, 0.000, 0.000)
Ti (0.750, 0.821, 0.358)
Ti (0.250, 0.179, 0.642)

magnetization: 0.0 Bohr magnetons per cell
SG: No. 63

---

Run b
# HfTiCr

A relaxed HfTiCr crystal (PBE, Alexandria via LeMat-Bulk).

Unit cell a=3.182 b=3.182 c=5.463 alpha=106.93 beta=106.93 gamma=90.00
Sites, in units of the cell vectors:
Cr (0.681, 0.681, 0.362)
Hf (0.012, 0.012, 0.024)
Ti (0.307, 0.307, 0.614)

magnetization: 0.0 Bohr magnetons per cell
SG: No. 107

---

Most stable structure - run b; separation to the second - 0.524 eV/atom.

---

Run a
# HfTiCr2

A relaxed HfTiCr2 crystal (PBE, Alexandria via LeMat-Bulk).

Unit cell a=6.862 b=6.862 c=5.569 alpha=51.97 beta=51.97 gamma=90.00
Sites, in units of the cell vectors:
Cr (0.606, 0.125, 0.250)
Cr (0.144, 0.625, 0.250)
Cr (0.375, 0.394, 0.750)
Cr (0.875, 0.856, 0.750)
Hf (0.000, 0.000, 0.000)
Hf (0.750, 0.250, 0.500)
Ti (0.500, 0.500, 0.000)
Ti (0.250, 0.750, 0.500)

magnetization: 3.8 Bohr magnetons per cell
SG: No. 122

---

Run b
# HfTiCr2

A relaxed HfTiCr2 crystal (PBE, Alexandria via LeMat-Bulk).

Unit cell a=4.468 b=4.468 c=4.468 alpha=60.00 beta=60.00 gamma=60.00
Sites, in units of the cell vectors:
Cr (0.250, 0.250, 0.250)
Cr (0.750, 0.750, 0.750)
Hf (0.500, 0.500, 0.500)
Ti (0.000, 0.000, 0.000)

magnetization: 3.6 Bohr magnetons per cell
SG: No. 225

---

Most stable structure - run b; separation to the second - 0.538 eV/atom.

---

Run a
# Hf2TlCr

A relaxed Hf2TlCr crystal (PBE, Alexandria via LeMat-Bulk).

Unit cell a=3.238 b=3.238 c=9.213 alpha=79.88 beta=79.88 gamma=60.00
Sites, in units of the cell vectors:
Cr (0.000, 0.000, 0.000)
Tl (0.500, 0.500, 0.500)
Hf (0.263, 0.263, 0.210)
Hf (0.737, 0.737, 0.790)

magnetization: 0.0 Bohr magnetons per cell
SG: No. 166

---

Run b
# Hf2TlCr

A relaxed Hf2TlCr crystal (PBE, Alexandria via LeMat-Bulk).

Unit cell a=3.290 b=3.290 c=7.255 alpha=90.00 beta=90.00 gamma=90.00
Sites, in units of the cell vectors:
Cr (0.500, 0.500, 0.000)
Tl (0.500, 0.500, 0.500)
Hf (0.000, 0.000, 0.792)
Hf (0.000, 0.000, 0.208)

magnetization: 0.0 Bohr magnetons per cell
SG: No. 123

---

Most stable structure - run b; separation to the second - 0.171 eV/atom.

---

Run a
# Hf2TlCr

A relaxed Hf2TlCr crystal (PBE, Alexandria via LeMat-Bulk).

Unit cell a=4.787 b=4.787 c=4.787 alpha=60.00 beta=60.00 gamma=60.00
Sites, in units of the cell vectors:
Cr (0.000, 0.000, 0.000)
Tl (0.500, 0.500, 0.500)
Hf (0.250, 0.250, 0.250)
Hf (0.750, 0.750, 0.750)

magnetization: 0.0 Bohr magnetons per cell
SG: No. 225

---

Run b
# Hf2TlCr

A relaxed Hf2TlCr crystal (PBE, Alexandria via LeMat-Bulk).

Unit cell a=4.157 b=4.157 c=10.718 alpha=78.82 beta=78.82 gamma=90.00
Sites, in units of the cell vectors:
Cr (0.500, 0.500, 0.000)
Cr (0.250, 0.750, 0.500)
Tl (0.000, 0.000, 0.000)
Tl (0.750, 0.250, 0.500)
Hf (0.621, 0.125, 0.250)
Hf (0.129, 0.625, 0.250)
Hf (0.375, 0.379, 0.750)
Hf (0.875, 0.871, 0.750)

magnetization: 5.3 Bohr magnetons per cell
SG: No. 122

---

Most stable structure - run a; separation to the second - 0.464 eV/atom.

---

Run a
# HfV2Cr2

A relaxed HfV2Cr2 crystal (PBE, Alexandria via LeMat-Bulk).

Unit cell a=3.779 b=3.779 c=10.964 alpha=99.92 beta=99.92 gamma=90.00
Sites, in units of the cell vectors:
Hf (0.625, 0.625, 0.249)
Hf (0.375, 0.375, 0.751)
V (0.000, 0.500, 0.000)
V (0.182, 0.182, 0.363)
V (0.500, 0.000, 0.000)
V (0.818, 0.818, 0.637)
Cr (0.750, 0.250, 0.500)
Cr (0.931, 0.931, 0.862)
Cr (0.069, 0.069, 0.138)
Cr (0.250, 0.750, 0.500)

magnetization: 1.0 Bohr magnetons per cell
SG: No. 139

---

Run b
# HfV2Cr2

A relaxed HfV2Cr2 crystal (PBE, Alexandria via LeMat-Bulk).

Unit cell a=3.877 b=3.877 c=5.751 alpha=70.30 beta=70.30 gamma=90.00
Sites, in units of the cell vectors:
Cr (0.390, 0.390, 0.219)
Cr (0.610, 0.610, 0.781)
Hf (0.000, 0.000, 0.000)
V (0.750, 0.250, 0.500)
V (0.250, 0.750, 0.500)

magnetization: 0.0 Bohr magnetons per cell
SG: No. 139

---

Run c
# HfV2Cr2

A relaxed HfV2Cr2 crystal (PBE, Alexandria via LeMat-Bulk).

Unit cell a=7.166 b=7.166 c=2.940 alpha=90.00 beta=90.00 gamma=90.00
Sites, in units of the cell vectors:
Cr (0.365, 0.865, 0.000)
Cr (0.865, 0.635, 0.000)
Cr (0.635, 0.135, 0.000)
Cr (0.135, 0.365, 0.000)
Hf (0.000, 0.000, 0.000)
Hf (0.500, 0.500, 0.000)
V (0.144, 0.644, 0.500)
V (0.644, 0.856, 0.500)
V (0.856, 0.356, 0.500)
V (0.356, 0.144, 0.500)

magnetization: 3.4 Bohr magnetons per cell
SG: No. 127

---

Most stable structure - run c; separation to the second - 0.045 eV/atom.

---

Run a
# HfVCr2

A relaxed HfVCr2 crystal (PBE, Alexandria via LeMat-Bulk).

Unit cell a=3.066 b=3.066 c=6.273 alpha=90.00 beta=90.00 gamma=90.00
Sites, in units of the cell vectors:
Cr (0.000, 0.000, 0.780)
Cr (0.000, 0.000, 0.220)
Hf (0.500, 0.500, 0.500)
V (0.500, 0.500, 0.000)

magnetization: 2.3 Bohr magnetons per cell
SG: No. 123

---

Run b
# HfVCr2

A relaxed HfVCr2 crystal (PBE, Alexandria via LeMat-Bulk).

Unit cell a=4.356 b=4.356 c=4.356 alpha=60.00 beta=60.00 gamma=60.00
Sites, in units of the cell vectors:
Cr (0.250, 0.250, 0.250)
Cr (0.750, 0.750, 0.750)
Hf (0.500, 0.500, 0.500)
V (0.000, 0.000, 0.000)

magnetization: 1.8 Bohr magnetons per cell
SG: No. 225

---

Most stable structure - run a; separation to the second - 0.042 eV/atom.